{
  "formula": "Sm3Ru",
  "functional": "PBEsol",
  "state": "relaxed",
  "magnetic_moment_mub_per_cell": 0.00,
  "e_form_ev_per_atom": -0.1965,
  "lattice": [[-3.897, -3.153, -3.796], [4.699, -5.517, -0.242], [-4.153, -3.865, 7.474]],
  "species": ["Ru", "Ru", "Ru", "Ru", "Sm", "Sm", "Sm", "Sm", "Sm", "Sm", "Sm", "Sm", "Sm", "Sm", "Sm", "Sm"],
  "frac_coords": [[0.051, 0.886, 0.250], [0.449, 0.386, 0.250], [0.949, 0.114, 0.750], [0.551, 0.614, 0.750], [0.360, 0.959, 0.750], [0.831, 0.822, 0.566], [0.669, 0.322, 0.934], [0.640, 0.041, 0.250], [0.669, 0.322, 0.566], [0.331, 0.678, 0.066], [0.860, 0.541, 0.250], [0.169, 0.178, 0.434], [0.331, 0.678, 0.434], [0.140, 0.459, 0.750], [0.169, 0.178, 0.066], [0.831, 0.822, 0.934]]
}